This record from the Alexandria database describes crystalline Y3Rh at its relaxed geometry. The functional is PBE-GGA.

The structure in CIF format:
```
data_Y3Rh
_cell_length_a 11.6235
_cell_length_b 11.6235
_cell_length_c 6.3425
_cell_angle_alpha 90.00
_cell_angle_beta 90.00
_cell_angle_gamma 90.00
_space_group_name_H-M_alt 'P 42/n'
_space_group_IT_number 86
loop_
_space_group_symop_operation_xyz
'x,y,z'
'-x,-y,-z'
'-y,x+1/2,z+1/2'
'y,-x+1/2,-z+1/2'
'-x+1/2,-y+1/2,z'
'x+1/2,y+1/2,-z'
'y+1/2,-x,z+1/2'
'-y+1/2,x,-z+1/2'
loop_
_atom_site_label
_atom_site_fract_x
_atom_site_fract_y
_atom_site_fract_z
Y1 0.0362 0.5923 0.1993
Y2 0.1156 0.6656 0.6914
Y3 0.1170 0.1916 0.0236
Rh1 0.0576 0.1829 0.5112
```

Values from the calculation:
- Total magnetization: 0.000 μB/f.u.
- E_form: -0.453 eV/atom